Entry 1:
VASP calculation (PBE) on a relaxed structure of SnRuSN2.

Values from the calculation:
relative energy among the computed polymorphs = 1107 meV/atom
total magnetization = 5.015 μB/f.u.
formation energy without anion corrections = 1719 meV per atom
N(E_F) = 4.380 states/eV/f.u.

Cell and atoms, written as POSCAR:
```
SnRuSN2
1.0
4.006 0.000 0.000
0.000 4.006 0.000
0.000 0.000 5.368
S Ru N Sn
1 1 2 1
direct
0.000 0.000 0.500 S
0.500 0.500 0.500 Ru
0.000 0.500 0.000 N
0.500 0.000 0.000 N
0.000 0.000 0.000 Sn
```

---

Entry 2:
VASP calculation (PBE) on a relaxed structure of SrRuS2N.

Values from the calculation:
relative energy among the computed polymorphs = 2104 meV/atom
total magnetization = 6.877 μB/f.u.
formation energy without anion corrections = 1584 meV per atom
N(E_F) = 7.289 states/eV/f.u.

Cell and atoms, written as POSCAR:
```
SrRuS2N
1.0
5.508 0.000 0.000
0.000 5.508 0.000
0.000 0.000 4.688
N Sr S Ru
1 1 2 1
direct
0.000 0.000 0.500 N
0.000 0.000 0.000 Sr
0.000 0.500 0.000 S
0.500 0.000 0.000 S
0.500 0.500 0.500 Ru
```

---

Entry 3:
VASP calculation (PBE) on a relaxed structure of SrRuS2N.

Values from the calculation:
relative energy among the computed polymorphs = 0 meV/atom
total magnetization = 0.608 μB/f.u.
formation energy without anion corrections = -520 meV per atom
N(E_F) = 5.894 states/eV/f.u.

Cell and atoms, written as POSCAR:
```
SrRuS2N
1.0
4.980 0.000 0.000
0.000 4.980 0.000
0.000 0.000 3.738
S Sr N Ru
2 1 1 1
direct
0.500 0.000 0.000 S
0.000 0.500 0.000 S
0.500 0.500 0.500 Sr
0.000 0.000 0.500 N
0.000 0.000 0.000 Ru
```

---

Entry 4:
VASP calculation (PBE) on a relaxed structure of TaRuSN2.

Values from the calculation:
relative energy among the computed polymorphs = 320 meV/atom
total magnetization = 1.364 μB/f.u.
formation energy without anion corrections = 1000 meV per atom
N(E_F) = 4.166 states/eV/f.u.

Cell and atoms, written as POSCAR:
```
TaRuSN2
1.0
3.796 0.000 0.000
0.000 3.796 0.000
0.000 0.000 4.821
N Ta Ru S
2 1 1 1
direct
0.500 0.000 0.000 N
0.000 0.500 0.000 N
0.500 0.500 0.500 Ta
0.000 0.000 0.000 Ru
0.000 0.000 0.500 S
```

---

Question: Look up the total magnetization of the first one.
Answer: 5.015 μB/f.u.

---

Please write out number 2 again, unchanged.
VASP calculation (PBE) on a relaxed structure of SrRuS2N.

Values from the calculation:
relative energy among the computed polymorphs = 2104 meV/atom
total magnetization = 6.877 μB/f.u.
formation energy without anion corrections = 1584 meV per atom
N(E_F) = 7.289 states/eV/f.u.

Cell and atoms, written as POSCAR:
```
SrRuS2N
1.0
5.508 0.000 0.000
0.000 5.508 0.000
0.000 0.000 4.688
N Sr S Ru
1 1 2 1
direct
0.000 0.000 0.500 N
0.000 0.000 0.000 Sr
0.000 0.500 0.000 S
0.500 0.000 0.000 S
0.500 0.500 0.500 Ru
```